Entry 1:
Compound: CuSbPb2
Source: the Alexandria database
Functional: PBEsol
Structure: relaxed

Output
total magnetic moment = 0.000 μB/atom
formation energy (no corrections) = 0.3563 eV per atom
theoretical density = 10.1 g cm⁻³

Lattice parameters (Å, degrees): 5.1815 5.1815 5.1815 60.00 60.00 60.00
Sites, in units of the cell vectors:
Sb 0.2500 0.2500 0.2500
Pb 0.0000 0.0000 0.0000
Pb 0.7500 0.7500 0.7500
Cu 0.5000 0.5000 0.5000

***

Entry 2:
Compound: CuSbPb2
Source: the Alexandria database
Functional: PBEsol
Structure: relaxed

Output
total magnetic moment = 0.000 μB/atom
formation energy (no corrections) = 0.3022 eV per atom
theoretical density = 10.1 g cm⁻³

Lattice parameters (Å, degrees): 4.7875 4.5478 4.5489 90.00 90.00 90.00
Sites, in units of the cell vectors:
Sb 0.5000 0.0000 0.5000
Pb 0.0000 0.0000 0.0000
Pb 0.0000 0.5000 0.5000
Cu 0.5000 0.5000 0.0000

***

Entry 3:
Compound: CuSbPb2
Source: the Alexandria database
Functional: PBEsol
Structure: relaxed

Output
total magnetic moment = 0.000 μB/atom
formation energy (no corrections) = 0.2329 eV per atom
theoretical density = 10.1 g cm⁻³

Lattice parameters (Å, degrees): 3.4877 3.4877 9.5548 79.48 79.48 60.00
Sites, in units of the cell vectors:
Sb 0.5000 0.5000 0.5000
Pb 0.7350 0.7350 0.7949
Cu 0.0000 0.0000 0.0000
Pb 0.2650 0.2650 0.2051